No. 1
First-principles (PBE) data for crystalline CaTbPm6Nd2 at its relaxed geometry, as listed in Alexandria via LeMat-Bulk.

Cell and atoms, written as POSCAR:
```
CaTbPm6Nd2
1.0
4.601 -7.784 0.000
4.601 7.784 0.000
-1.621 0.000 9.847
Ca Tb Pm Nd
2 2 12 4
Cartesian
3.385 6.250 7.385
4.196 -6.250 2.462
4.196 0.337 2.462
3.385 -0.337 7.385
-0.010 1.669 6.141
2.509 3.527 1.746
0.800 -1.669 1.217
3.159 2.784 5.430
3.612 2.784 9.341
5.883 3.527 3.177
1.698 -3.527 6.670
3.970 -2.784 0.507
4.422 -2.784 4.417
6.781 1.669 8.630
5.073 -3.527 8.101
7.592 -1.669 3.706
0.741 0.777 9.435
1.552 -0.777 4.511
6.029 0.777 5.336
6.840 -0.777 0.412
```

Calculated values
mass density = 6.39 g/cm³
crystal system = monoclinic
volume = 35.27 Å³/atom
DFT formation energy = 0.127 eV/atom


No. 2
First-principles (PBE) data for crystalline HfScZnGa at its relaxed geometry, as listed in Alexandria via LeMat-Bulk.

Cell and atoms, written as POSCAR:
```
HfScZnGa
1.0
0.000 3.323 3.323
3.323 0.000 3.323
3.323 3.323 0.000
Hf Sc Zn Ga
1 1 1 1
Cartesian
0.000 0.000 0.000
3.323 3.323 3.323
4.984 4.984 4.984
1.661 1.661 1.661
```

Calculated values
mass density = 8.12 g/cm³
crystal system = cubic
volume = 18.34 Å³/atom
DFT formation energy = -0.377 eV/atom


No. 3
First-principles (PBE) data for crystalline TmNb2S6 at its relaxed geometry, as listed in Alexandria via LeMat-Bulk.

Cell and atoms, written as POSCAR:
```
TmNb2S6
1.0
6.166 -2.265 0.000
6.166 2.265 0.000
-4.289 0.000 7.734
Tm Nb S
1 2 6
Cartesian
0.000 0.000 0.000
-0.575 0.000 4.737
8.618 0.000 2.997
-2.783 0.000 5.474
1.801 0.000 3.482
0.512 0.000 6.877
7.532 0.000 0.857
6.242 0.000 4.252
10.826 0.000 2.261
```

Calculated values
mass density = 4.21 g/cm³
energy relative to the elements, uncorrected = -1.0257 eV per atom
crystal system = monoclinic
volume = 24.00 Å³/atom


No. 4
First-principles (PBE) data for crystalline Na2TlI at its relaxed geometry, as listed in Alexandria via LeMat-Bulk.

Cell and atoms, written as POSCAR:
```
Na2TlI
1.0
-4.358 4.358 3.712
4.358 -4.358 3.712
4.358 4.358 -3.712
Na Tl I
4 2 2
Cartesian
6.538 2.021 -0.928
2.021 2.179 0.928
-2.179 2.338 2.784
2.338 2.179 4.640
4.358 0.000 1.856
0.000 0.000 3.712
0.000 0.000 0.000
0.000 4.358 1.856
```

Calculated values
mass density = 4.44 g/cm³
energy relative to the elements, uncorrected = -0.4239 eV per atom
crystal system = tetragonal
volume = 35.26 Å³/atom


No. 5
First-principles (PBE) data for crystalline CsIn2BiRh at its relaxed geometry, as listed in Alexandria via LeMat-Bulk.

Cell and atoms, written as POSCAR:
```
CsIn2BiRh
1.0
5.300 0.000 0.000
0.000 5.300 0.000
0.000 0.000 5.650
Cs In Bi Rh
1 2 1 1
Cartesian
0.000 0.000 0.000
0.000 2.650 2.825
2.650 0.000 2.825
2.650 2.650 0.000
2.650 2.650 2.825
```

Calculated values
mass density = 7.06 g/cm³
crystal system = tetragonal
volume = 31.74 Å³/atom
DFT formation energy = -0.087 eV/atom


No. 6
First-principles (PBE) data for crystalline ErScTi at its relaxed geometry, as listed in Alexandria via LeMat-Bulk.

Cell and atoms, written as POSCAR:
```
ErScTi
1.0
5.075 0.000 0.000
-2.537 4.395 0.000
0.000 0.000 3.189
Er Sc Ti
1 1 1
Cartesian
0.000 0.000 0.000
0.000 2.930 1.594
2.537 1.465 1.594
```

Calculated values
mass density = 6.07 g/cm³
crystal system = hexagonal
volume = 23.71 Å³/atom
DFT formation energy = 0.161 eV/atom


No. 7
First-principles (PBE) data for crystalline MnMo2Os at its relaxed geometry, as listed in Alexandria via LeMat-Bulk.

Cell and atoms, written as POSCAR:
```
MnMo2Os
1.0
2.765 0.000 0.000
0.000 3.886 0.000
0.000 0.000 5.451
Mn Mo Os
1 2 1
Cartesian
0.000 0.000 0.000
1.382 1.943 1.355
1.382 1.943 4.096
0.000 0.000 2.726
```

Calculated values
mass density = 12.39 g/cm³
crystal system = orthorhombic
volume = 14.64 Å³/atom
DFT formation energy = 0.148 eV/atom


No. 8
First-principles (PBE) data for crystalline Pm6Tl2Rh at its relaxed geometry, as listed in Alexandria via LeMat-Bulk.

Cell and atoms, written as POSCAR:
```
Pm6Tl2Rh
1.0
8.907 0.000 0.000
-4.454 7.714 0.000
0.000 0.000 3.880
Pm Tl Rh
6 2 1
Cartesian
-1.778 3.080 0.000
-3.381 5.856 1.940
1.073 1.858 1.940
3.557 0.000 0.000
2.675 4.634 0.000
6.762 0.000 1.940
0.000 5.143 1.940
4.454 2.571 1.940
0.000 0.000 0.000
```

Calculated values
mass density = 8.60 g/cm³
crystal system = hexagonal
volume = 29.63 Å³/atom
DFT formation energy = -0.373 eV/atom


No. 9
First-principles (PBE) data for crystalline MoRu at its relaxed geometry, as listed in Alexandria via LeMat-Bulk.

Cell and atoms, written as POSCAR:
```
MoRu
1.0
4.585 -1.384 0.000
4.585 1.384 0.000
-0.809 0.000 4.709
Mo Ru
2 2
Cartesian
0.799 0.000 1.674
7.563 0.000 3.035
3.272 0.000 0.625
5.089 0.000 4.084
```

Calculated values
mass density = 10.94 g/cm³
crystal system = monoclinic
volume = 14.95 Å³/atom
DFT formation energy = 0.088 eV/atom


No. 10
First-principles (PBE) data for crystalline SrMo2Se at its relaxed geometry, as listed in Alexandria via LeMat-Bulk.

Cell and atoms, written as POSCAR:
```
SrMo2Se
1.0
3.376 0.000 0.000
0.000 3.376 0.000
0.000 0.000 7.474
Sr Mo Se
1 2 1
Cartesian
0.000 0.000 0.000
0.000 0.000 3.679
1.688 1.688 2.513
1.688 1.688 5.262
```

Calculated values
mass density = 6.99 g/cm³
energy relative to the elements, uncorrected = 0.0839 eV per atom
crystal system = tetragonal
volume = 21.30 Å³/atom


No. 11
First-principles (PBE) data for crystalline TlFeN2 at its relaxed geometry, as listed in Alexandria via LeMat-Bulk.

Cell and atoms, written as POSCAR:
```
TlFeN2
1.0
1.729 0.998 6.047
-1.729 0.998 6.047
0.000 -1.997 6.047
Tl Fe N
1 1 2
Cartesian
0.000 0.000 0.000
0.000 0.000 9.071
0.000 0.000 7.306
0.000 0.000 10.836
```

Calculated values
mass density = 7.64 g/cm³
energy relative to the elements, uncorrected = 1.1619 eV per atom
crystal system = trigonal
volume = 15.66 Å³/atom


No. 12
First-principles (PBE) data for crystalline Y5CoAg4 at its relaxed geometry, as listed in Alexandria via LeMat-Bulk.

Cell and atoms, written as POSCAR:
```
Y5CoAg4
1.0
3.559 0.000 0.000
0.000 3.559 0.000
0.000 0.000 18.298
Y Co Ag
5 1 4
Cartesian
0.000 0.000 0.000
0.000 0.000 3.754
0.000 0.000 7.529
0.000 0.000 10.768
0.000 0.000 14.544
1.780 1.780 9.149
1.780 1.780 1.870
1.780 1.780 5.612
1.780 1.780 12.686
1.780 1.780 16.428
```

Calculated values
mass density = 6.70 g/cm³
crystal system = tetragonal
volume = 23.18 Å³/atom
DFT formation energy = -0.282 eV/atom


No. 13
First-principles (PBE) data for crystalline BaAsRh3 at its relaxed geometry, as listed in Alexandria via LeMat-Bulk.

Cell and atoms, written as POSCAR:
```
BaAsRh3
1.0
4.728 0.000 0.000
0.000 4.728 0.000
0.000 0.000 4.728
Ba As Rh
1 1 3
Cartesian
0.000 0.000 0.000
2.364 2.364 2.364
0.000 2.364 2.364
2.364 0.000 2.364
2.364 2.364 0.000
```

Calculated values
mass density = 8.19 g/cm³
crystal system = cubic
volume = 21.14 Å³/atom
DFT formation energy = -0.180 eV/atom


No. 14
First-principles (PBE) data for crystalline KAcTeSe at its relaxed geometry, as listed in Alexandria via LeMat-Bulk.

Cell and atoms, written as POSCAR:
```
KAcTeSe
1.0
2.354 1.359 8.018
-2.354 1.359 8.018
0.000 -2.718 8.018
K Ac Te Se
1 1 1 1
Cartesian
0.000 0.000 0.000
0.000 0.000 11.813
0.000 0.000 5.735
0.000 0.000 18.245
```

Calculated values
mass density = 5.10 g/cm³
energy relative to the elements, uncorrected = -1.6481 eV per atom
crystal system = trigonal
volume = 38.47 Å³/atom


No. 15
First-principles (PBE) data for crystalline VNi2Pb at its relaxed geometry, as listed in Alexandria via LeMat-Bulk.

Cell and atoms, written as POSCAR:
```
VNi2Pb
1.0
-1.979 1.979 8.443
1.979 -1.979 8.443
1.979 1.979 -8.443
V Ni Pb
2 4 2
Cartesian
0.000 0.000 0.000
0.000 1.979 4.222
2.968 0.787 -2.111
0.787 0.989 2.111
-0.989 1.192 6.332
1.192 0.989 10.554
1.979 0.000 4.222
0.000 0.000 8.443
```

Calculated values
mass density = 9.43 g/cm³
crystal system = tetragonal
volume = 16.53 Å³/atom
DFT formation energy = 0.564 eV/atom


No. 16
First-principles (PBE) data for crystalline SrW2Cl at its relaxed geometry, as listed in Alexandria via LeMat-Bulk.

Cell and atoms, written as POSCAR:
```
SrW2Cl
1.0
2.577 -6.254 0.000
2.577 6.254 0.000
0.000 0.000 2.892
Sr W Cl
1 2 1
Cartesian
0.000 0.000 0.000
1.288 3.127 1.446
1.288 -3.127 1.446
2.577 0.000 0.000
```

Calculated values
mass density = 8.75 g/cm³
energy relative to the elements, uncorrected = 1.1211 eV per atom
crystal system = orthorhombic
volume = 23.30 Å³/atom